# 1
Density functional theory data (GGA-PBE) for a geometry-optimized La2TaSb structure.

Calculated values
- Symmetry: No. 216
- DOS at the Fermi energy: 4.758 states/eV/f.u.
- DFT total energy: -25.4 eV/cell
- Raw formation energy: 45 kJ/mol of formula units

Cell: 5.285 5.285 5.285 Å, 60.00 60.00 60.00°
Last column: magnetic moment on the atom in μB.
Fractional positions:
Ta 0.750 0.750 0.750  0.85
La 0.000 0.000 0.000  0.32
La 0.250 0.250 0.250  0.04
Sb 0.500 0.500 0.500  -0.03

***

# 2
Density functional theory data (GGA-PBE) for a geometry-optimized La2TaSb structure.

Calculated values
- Symmetry: No. 123
- DOS at the Fermi energy: 5.628 states/eV/f.u.
- DFT total energy: -26.1 eV/cell
- Raw formation energy: -27 kJ/mol of formula units

Cell: 4.892 4.892 4.515 Å, 90.00 90.00 90.00°
Last column: magnetic moment on the atom in μB.
Fractional positions:
Sb 0.500 0.000 0.500  0.00
La 0.000 0.000 0.000  0.04
La 0.500 0.500 0.000  0.04
Ta 0.000 0.500 0.500  0.40

***

Question: Which value of DFT total energy does entry 2 give?
Answer: -26.1 eV/cell

***

Repeat the second record exactly.
Density functional theory data (GGA-PBE) for a geometry-optimized La2TaSb structure.

Calculated values
- Symmetry: No. 123
- DOS at the Fermi energy: 5.628 states/eV/f.u.
- DFT total energy: -26.1 eV/cell
- Raw formation energy: -27 kJ/mol of formula units

Cell: 4.892 4.892 4.515 Å, 90.00 90.00 90.00°
Last column: magnetic moment on the atom in μB.
Fractional positions:
Sb 0.500 0.000 0.500  0.00
La 0.000 0.000 0.000  0.04
La 0.500 0.500 0.000  0.04
Ta 0.000 0.500 0.500  0.40